(1)
# LiAl4Ga

A relaxed LiAl4Ga crystal (PBE-GGA, the Alexandria database). Values from VASP.

Cell and atoms, written as Quantum ESPRESSO input:
```
&SYSTEM
  ibrav = 0, nat = 6, ntyp = 3
/
ATOMIC_SPECIES
Li 6.94 Li.upf
Al 26.98 Al.upf
Ga 69.72 Ga.upf
CELL_PARAMETERS angstrom
0.000 3.821 3.821
3.821 0.000 3.821
3.821 3.821 0.000
ATOMIC_POSITIONS crystal
Li 0.000 0.000 0.000
Al 0.375 0.375 0.375
Al 0.375 0.375 0.876
Al 0.375 0.876 0.375
Al 0.876 0.375 0.375
Ga 0.750 0.750 0.750
```

Computed properties:
Crystal system: cubic
Total DFT energy (no corrections): -19.59 eV/cell
Energy of formation from the pure elements: 0.053 eV/atom
D(E_F): 0.301 states/eV/atom

(2)
# LiAl2Ga5

A relaxed LiAl2Ga5 crystal (PBE-GGA, the Alexandria database). Values from VASP.

Cell and atoms, written as Quantum ESPRESSO input:
```
&SYSTEM
  ibrav = 0, nat = 8, ntyp = 3
/
ATOMIC_SPECIES
Li 6.94 Li.upf
Al 26.98 Al.upf
Ga 69.72 Ga.upf
CELL_PARAMETERS angstrom
4.010 -4.275 0.000
4.010 4.275 0.000
-3.928 0.000 4.043
ATOMIC_POSITIONS crystal
Li 0.000 0.000 0.000
Al 0.000 0.500 0.500
Al 0.500 0.000 0.500
Ga 0.000 0.500 0.000
Ga 0.001 0.001 0.500
Ga 0.500 0.000 0.000
Ga 0.500 0.500 0.500
Ga 0.501 0.501 0.000
```

Computed properties:
Crystal system: monoclinic
Total DFT energy (no corrections): -25.02 eV/cell
Energy of formation from the pure elements: -0.061 eV/atom
D(E_F): 0.244 states/eV/atom

(3)
# Li4AlGa5

A relaxed Li4AlGa5 crystal (PBE-GGA, the Alexandria database). Values from VASP.

Cell and atoms, written as Quantum ESPRESSO input:
```
&SYSTEM
  ibrav = 0, nat = 10, ntyp = 3
/
ATOMIC_SPECIES
Li 6.94 Li.upf
Al 26.98 Al.upf
Ga 69.72 Ga.upf
CELL_PARAMETERS angstrom
3.258 0.000 0.000
0.000 3.258 0.000
0.000 0.000 15.044
ATOMIC_POSITIONS crystal
Li 0.000 0.000 0.098
Li 0.000 0.000 0.294
Li 0.000 0.000 0.706
Li 0.000 0.000 0.902
Al 0.000 0.000 0.500
Ga 0.500 0.500 0.000
Ga 0.500 0.500 0.194
Ga 0.500 0.500 0.392
Ga 0.500 0.500 0.608
Ga 0.500 0.500 0.806
```

Computed properties:
Crystal system: tetragonal
Total DFT energy (no corrections): -28.66 eV/cell
Energy of formation from the pure elements: -0.213 eV/atom
D(E_F): 0.175 states/eV/atom

(4)
# Li2AlGa2

A relaxed Li2AlGa2 crystal (PBE-GGA, the Alexandria database). Values from VASP.

Cell and atoms, written as Quantum ESPRESSO input:
```
&SYSTEM
  ibrav = 0, nat = 5, ntyp = 3
/
ATOMIC_SPECIES
Li 6.94 Li.upf
Al 26.98 Al.upf
Ga 69.72 Ga.upf
CELL_PARAMETERS angstrom
4.190 -2.056 0.000
4.190 2.056 0.000
-3.807 0.000 4.713
ATOMIC_POSITIONS crystal
Li 0.208 0.208 0.109
Li 0.792 0.792 0.891
Al 0.000 0.000 0.500
Ga 0.401 0.401 0.707
Ga 0.599 0.599 0.293
```

Computed properties:
Crystal system: monoclinic
Total DFT energy (no corrections): -14.67 eV/cell
Energy of formation from the pure elements: -0.208 eV/atom
D(E_F): 0.243 states/eV/atom

(5)
# Li2Al2Ga

A relaxed Li2Al2Ga crystal (PBE-GGA, the Alexandria database). Values from VASP.

Cell and atoms, written as Quantum ESPRESSO input:
```
&SYSTEM
  ibrav = 0, nat = 5, ntyp = 3
/
ATOMIC_SPECIES
Li 6.94 Li.upf
Al 26.98 Al.upf
Ga 69.72 Ga.upf
CELL_PARAMETERS angstrom
-1.845 1.845 6.675
1.845 -1.845 6.675
1.845 1.845 -6.675
ATOMIC_POSITIONS crystal
Li 0.250 0.750 0.500
Li 0.750 0.250 0.500
Al 0.095 0.095 0.000
Al 0.905 0.905 0.000
Ga 0.500 0.500 0.000
```

Computed properties:
Crystal system: tetragonal
Total DFT energy (no corrections): -14.11 eV/cell
Energy of formation from the pure elements: 0.047 eV/atom
D(E_F): 0.270 states/eV/atom

(6)
# LiAl6Ga2

A relaxed LiAl6Ga2 crystal (PBE-GGA, the Alexandria database). Values from VASP.

Cell and atoms, written as Quantum ESPRESSO input:
```
&SYSTEM
  ibrav = 0, nat = 9, ntyp = 3
/
ATOMIC_SPECIES
Li 6.94 Li.upf
Al 26.98 Al.upf
Ga 69.72 Ga.upf
CELL_PARAMETERS angstrom
3.752 -7.156 0.000
3.752 7.156 0.000
-0.434 0.000 2.859
ATOMIC_POSITIONS crystal
Li 0.000 0.000 0.000
Al 0.167 0.505 0.191
Al 0.335 0.335 0.674
Al 0.495 0.833 0.809
Al 0.505 0.167 0.191
Al 0.665 0.665 0.326
Al 0.833 0.495 0.809
Ga 0.160 0.840 0.500
Ga 0.840 0.160 0.500
```

Computed properties:
Crystal system: monoclinic
Total DFT energy (no corrections): -30.30 eV/cell
Energy of formation from the pure elements: 0.014 eV/atom
D(E_F): 0.333 states/eV/atom

(7)
# Li2AlGa6

A relaxed Li2AlGa6 crystal (PBE-GGA, the Alexandria database). Values from VASP.

Cell and atoms, written as Quantum ESPRESSO input:
```
&SYSTEM
  ibrav = 0, nat = 9, ntyp = 3
/
ATOMIC_SPECIES
Li 6.94 Li.upf
Al 26.98 Al.upf
Ga 69.72 Ga.upf
CELL_PARAMETERS angstrom
7.837 0.000 0.000
-3.918 6.787 0.000
0.000 0.000 2.999
ATOMIC_POSITIONS crystal
Li 0.333 0.667 0.000
Li 0.667 0.333 0.000
Al 0.000 0.000 0.000
Ga 0.000 0.332 0.500
Ga 0.000 0.668 0.500
Ga 0.332 0.000 0.500
Ga 0.332 0.332 0.500
Ga 0.668 0.000 0.500
Ga 0.668 0.668 0.500
```

Computed properties:
Crystal system: hexagonal
Total DFT energy (no corrections): -26.67 eV/cell
Energy of formation from the pure elements: -0.104 eV/atom
D(E_F): 0.610 states/eV/atom

(8)
# LiAl2Ga6

A relaxed LiAl2Ga6 crystal (PBE-GGA, the Alexandria database). Values from VASP.

Cell and atoms, written as Quantum ESPRESSO input:
```
&SYSTEM
  ibrav = 0, nat = 18, ntyp = 3
/
ATOMIC_SPECIES
Li 6.94 Li.upf
Al 26.98 Al.upf
Ga 69.72 Ga.upf
CELL_PARAMETERS angstrom
5.695 -5.909 0.000
5.695 5.909 0.000
-2.539 0.000 5.012
ATOMIC_POSITIONS crystal
Li 0.142 0.858 0.750
Li 0.858 0.142 0.250
Al 0.247 0.344 0.639
Al 0.344 0.247 0.139
Al 0.656 0.753 0.861
Al 0.753 0.656 0.361
Ga 0.023 0.486 0.264
Ga 0.024 0.221 0.856
Ga 0.221 0.024 0.356
Ga 0.365 0.606 0.470
Ga 0.394 0.635 0.030
Ga 0.486 0.023 0.764
Ga 0.514 0.977 0.236
Ga 0.606 0.365 0.970
Ga 0.635 0.394 0.530
Ga 0.779 0.976 0.644
Ga 0.976 0.779 0.144
Ga 0.977 0.514 0.736
```

Computed properties:
Crystal system: monoclinic
Total DFT energy (no corrections): -55.71 eV/cell
Energy of formation from the pure elements: -0.033 eV/atom
D(E_F): 0.258 states/eV/atom

(9)
# LiAl6Ga2

A relaxed LiAl6Ga2 crystal (PBE-GGA, the Alexandria database). Values from VASP.

Cell and atoms, written as Quantum ESPRESSO input:
```
&SYSTEM
  ibrav = 0, nat = 9, ntyp = 3
/
ATOMIC_SPECIES
Li 6.94 Li.upf
Al 26.98 Al.upf
Ga 69.72 Ga.upf
CELL_PARAMETERS angstrom
6.102 -2.057 0.000
6.102 2.057 0.000
-2.238 0.000 5.967
ATOMIC_POSITIONS crystal
Li 0.000 0.000 0.000
Al 0.111 0.111 0.662
Al 0.224 0.224 0.329
Al 0.331 0.331 0.999
Al 0.669 0.669 0.001
Al 0.776 0.776 0.671
Al 0.889 0.889 0.338
Ga 0.444 0.444 0.680
Ga 0.556 0.556 0.320
```

Computed properties:
Crystal system: monoclinic
Total DFT energy (no corrections): -30.78 eV/cell
Energy of formation from the pure elements: -0.040 eV/atom
D(E_F): 0.313 states/eV/atom

(10)
# LiAlGa2

A relaxed LiAlGa2 crystal (PBE-GGA, the Alexandria database). Values from VASP.

Cell and atoms, written as Quantum ESPRESSO input:
```
&SYSTEM
  ibrav = 0, nat = 4, ntyp = 3
/
ATOMIC_SPECIES
Li 6.94 Li.upf
Al 26.98 Al.upf
Ga 69.72 Ga.upf
CELL_PARAMETERS angstrom
-2.050 2.050 3.909
2.050 -2.050 3.909
2.050 2.050 -3.909
ATOMIC_POSITIONS crystal
Li 0.000 0.000 0.000
Al 0.500 0.500 0.000
Ga 0.250 0.750 0.500
Ga 0.750 0.250 0.500
```

Computed properties:
Crystal system: tetragonal
Total DFT energy (no corrections): -12.33 eV/cell
Energy of formation from the pure elements: -0.155 eV/atom
D(E_F): 0.370 states/eV/atom

(11)
# LiAlGa

A relaxed LiAlGa crystal (PBE-GGA, the Alexandria database). Values from VASP.

Cell and atoms, written as Quantum ESPRESSO input:
```
&SYSTEM
  ibrav = 0, nat = 3, ntyp = 3
/
ATOMIC_SPECIES
Li 6.94 Li.upf
Al 26.98 Al.upf
Ga 69.72 Ga.upf
CELL_PARAMETERS angstrom
-1.544 1.544 5.274
1.544 -1.544 5.274
1.544 1.544 -5.274
ATOMIC_POSITIONS crystal
Li 0.000 0.000 0.000
Al 0.674 0.674 0.000
Ga 0.337 0.337 0.000
```

Computed properties:
Crystal system: tetragonal
Total DFT energy (no corrections): -9.00 eV/cell
Energy of formation from the pure elements: -0.105 eV/atom
D(E_F): 0.214 states/eV/atom

(12)
# Li2AlGa2

A relaxed Li2AlGa2 crystal (PBE-GGA, the Alexandria database). Values from VASP.

Cell and atoms, written as Quantum ESPRESSO input:
```
&SYSTEM
  ibrav = 0, nat = 10, ntyp = 3
/
ATOMIC_SPECIES
Li 6.94 Li.upf
Al 26.98 Al.upf
Ga 69.72 Ga.upf
CELL_PARAMETERS angstrom
-3.396 5.143 2.511
3.396 -5.143 2.511
3.396 5.143 -2.511
ATOMIC_POSITIONS crystal
Li 0.078 0.152 0.230
Li 0.422 0.652 0.075
Li 0.578 0.348 0.925
Li 0.922 0.848 0.770
Al 0.250 0.750 0.500
Al 0.750 0.250 0.500
Ga 0.182 0.776 0.958
Ga 0.318 0.276 0.594
Ga 0.682 0.724 0.406
Ga 0.818 0.224 0.042
```

Computed properties:
Crystal system: orthorhombic
Total DFT energy (no corrections): -27.79 eV/cell
Energy of formation from the pure elements: -0.054 eV/atom
D(E_F): 0.270 states/eV/atom

Q: Which value of D(E_F) does entry 3 give?
A: 0.175 states/eV/atom